Record 1
## ScCrNiC2 (PBE)

Data for an optimized crystal structure of ScCrNiC2.

Output
DFT formation energy   227.41 kJ/mol of atoms
Volume   14.6 A^3/atom

a = 4.100 Å, b = 4.100 Å, c = 4.333 Å
α = 90.00°, β = 90.00°, γ = 90.00°
Element x y z (fractional)
Sc  0.000  0.000  0.000
Cr  0.500  0.500  0.500
Ni  0.000  0.000  0.500
C  0.000  0.500  0.000
C  0.500  0.000  0.000

Record 2
## CrNi2CSe (PBE)

Data for an optimized crystal structure of CrNi2CSe.

Output
Formation energy without anion corrections   1.8220 eV/atom
Volume   14.6 A^3/atom

a = 4.293 Å, b = 4.293 Å, c = 3.969 Å
α = 90.00°, β = 90.00°, γ = 90.00°
Element x y z (fractional)
Cr  0.000  0.000  0.000
Ni  0.000  0.500  0.500
Ni  0.500  0.000  0.500
C  0.500  0.500  0.000
Se  0.500  0.500  0.500

Record 3
## CrNi2SnC (PBE)

Data for an optimized crystal structure of CrNi2SnC.

Output
DFT formation energy   -1.16 kJ/mol of atoms
Volume   11.9 A^3/atom

a = 3.896 Å, b = 3.896 Å, c = 3.913 Å
α = 90.00°, β = 90.00°, γ = 90.00°
Element x y z (fractional)
Cr  0.000  0.000  0.000
Ni  0.000  0.500  0.500
Ni  0.500  0.000  0.500
Sn  0.500  0.500  0.000
C  0.000  0.000  0.500

Record 4
## V2CrNiC (PBE)

Data for an optimized crystal structure of V2CrNiC.

Output
DFT formation energy   2.61 kJ/mol of atoms
Volume   11.5 A^3/atom

a = 3.964 Å, b = 3.964 Å, c = 3.647 Å
α = 90.00°, β = 90.00°, γ = 90.00°
Element x y z (fractional)
V  0.000  0.500  0.000
V  0.500  0.000  0.000
Cr  0.000  0.000  0.500
Ni  0.500  0.500  0.500
C  0.500  0.500  0.000

One value per record, in order, for magnetic moment: 0.0, 0.1, 0.3, 0.0 μB/f.u..